<one>
This record from Alexandria via LeMat-Bulk describes a relaxed structure of CsFe2F6. The functional is PBE with a Hubbard U.

Properties
symmetry = P-31m, No. 162
total magnetic moment = 9.00 μB/cell

Cell lengths 5.515, 5.515, 6.460 Å; angles 90.00, 90.00, 120.00 degrees
Positions (direct):
Cs (0.000, 0.000, 0.000)
Fe (0.333, 0.667, 0.500)
Fe (0.667, 0.333, 0.500)
F (0.000, 0.385, 0.669)
F (0.000, 0.615, 0.331)
F (0.385, 0.000, 0.669)
F (0.385, 0.385, 0.331)
F (0.615, 0.000, 0.331)
F (0.615, 0.615, 0.669)

***

<two>
This record from Alexandria via LeMat-Bulk describes a relaxed structure of CsFe2F6. The functional is PBE with a Hubbard U.

Properties
symmetry = Fd-3m, No. 227
total magnetic moment = 18.00 μB/cell

Cell lengths 7.524, 7.524, 7.524 Å; angles 60.00, 60.00, 60.00 degrees
Positions (direct):
Cs (0.125, 0.125, 0.125)
Cs (0.875, 0.875, 0.875)
Fe (0.000, 0.500, 0.500)
Fe (0.500, 0.000, 0.500)
Fe (0.500, 0.500, 0.000)
Fe (0.500, 0.500, 0.500)
F (0.182, 0.182, 0.568)
F (0.182, 0.568, 0.182)
F (0.182, 0.568, 0.568)
F (0.432, 0.432, 0.818)
F (0.432, 0.818, 0.432)
F (0.432, 0.818, 0.818)
F (0.568, 0.182, 0.182)
F (0.568, 0.182, 0.568)
F (0.568, 0.568, 0.182)
F (0.818, 0.432, 0.432)
F (0.818, 0.432, 0.818)
F (0.818, 0.818, 0.432)

***

<one> (0.030 eV/atom below the next structure)

***

<one>
This record from Alexandria via LeMat-Bulk describes a relaxed structure of CsFeOF2. The functional is PBE with a Hubbard U.

Properties
symmetry = P4/mmm, No. 123
total magnetic moment = 4.96 μB/cell

Cell lengths 5.198, 5.198, 4.435 Å; angles 90.00, 90.00, 90.00 degrees
Positions (direct):
Cs (0.000, 0.000, 0.000)
Fe (0.500, 0.500, 0.500)
O (0.000, 0.000, 0.500)
F (0.000, 0.500, 0.000)
F (0.500, 0.000, 0.000)

***

<two>
This record from Alexandria via LeMat-Bulk describes a relaxed structure of CsFeOF2. The functional is PBE with a Hubbard U.

Properties
symmetry = P4/mmm, No. 123
total magnetic moment = 5.00 μB/cell

Cell lengths 4.484, 4.484, 3.826 Å; angles 90.00, 90.00, 90.00 degrees
Positions (direct):
Cs (0.000, 0.000, 0.000)
Fe (0.500, 0.500, 0.500)
O (0.500, 0.500, 0.000)
F (0.000, 0.500, 0.500)
F (0.500, 0.000, 0.500)

***

<two> (1.779 eV/atom below the next structure)